No. 1
AsRh3 (PBE, relaxed); E_tot = -6.429 eV per atom; SG = No. 223; V = 15.09 Å³/atom; ΔH_f (0 K) = 0.25 eV/atom
1.0
4.943 0.000 0.000
0.000 4.943 0.000
0.000 0.000 4.943
As Rh
2 6
Direct
0.000 0.000 0.000 As
0.500 0.500 0.500 As
0.000 0.250 0.500 Rh
0.000 0.750 0.500 Rh
0.250 0.500 0.000 Rh
0.500 0.000 0.250 Rh
0.500 0.000 0.750 Rh
0.750 0.500 0.000 Rh


No. 2
Tb4Fe (PBE, relaxed); E_tot = -5.260 eV per atom; SG = No. 221; V = 29.56 Å³/atom; ΔH_f (0 K) = 0.14 eV/atom
1.0
5.287 0.000 0.000
0.000 5.287 0.000
0.000 0.000 5.287
Tb Fe
4 1
Direct
0.000 0.000 0.000 Tb
0.000 0.500 0.500 Tb
0.500 0.000 0.500 Tb
0.500 0.500 0.000 Tb
0.500 0.500 0.500 Fe


No. 3
AcCeTeAu (PBE, relaxed); E_tot = -4.927 eV per atom; SG = No. 216; V = 29.91 Å³/atom; raw formation energy = -78 kJ per mole of atoms
1.0
7.822 0.000 0.000
0.000 7.822 0.000
0.000 0.000 7.822
Ac Ce Te Au
4 4 4 4
Direct
0.000 0.000 0.000 Ac
0.000 0.500 0.500 Ac
0.500 0.000 0.500 Ac
0.500 0.500 0.000 Ac
0.000 0.000 0.500 Ce
0.000 0.500 0.000 Ce
0.500 0.000 0.000 Ce
0.500 0.500 0.500 Ce
0.250 0.250 0.750 Te
0.250 0.750 0.250 Te
0.750 0.250 0.250 Te
0.750 0.750 0.750 Te
0.250 0.250 0.250 Au
0.250 0.750 0.750 Au
0.750 0.250 0.750 Au
0.750 0.750 0.250 Au


No. 4
TaRe2Mo (PBE, relaxed); E_tot = -11.928 eV per atom; SG = No. 65; energy relative to the lowest polymorph listed for this composition = 119 meV per atom; V = 15.91 Å³/atom; ΔH_f (0 K) = -0.03 eV/atom
1.0
3.167 0.000 0.000
0.000 4.510 0.000
0.000 0.000 8.912
Ta Re Mo
2 4 2
Direct
0.000 0.000 0.000 Ta
0.500 0.500 0.000 Ta
0.000 0.500 0.253 Re
0.000 0.500 0.747 Re
0.500 0.000 0.253 Re
0.500 0.000 0.747 Re
0.000 0.000 0.500 Mo
0.500 0.500 0.500 Mo


No. 5
Th2ZnBIr6 (PBE, relaxed); E_tot = -7.991 eV per atom; SG = No. 12; V = 17.61 Å³/atom; ΔH_f (0 K) = -0.40 eV/atom
1.0
5.448 -3.147 0.000
5.448 3.147 0.000
-3.623 0.000 5.136
Th Zn B Ir
2 1 1 6
Direct
0.250 0.250 0.250 Th
0.750 0.750 0.750 Th
0.000 0.000 0.500 Zn
0.500 0.500 0.000 B
0.267 0.267 0.767 Ir
0.268 0.732 0.233 Ir
0.268 0.732 0.767 Ir
0.732 0.268 0.233 Ir
0.732 0.268 0.767 Ir
0.733 0.733 0.233 Ir


No. 6
ReSbPd3 (PBE, relaxed); E_tot = -5.340 eV per atom; SG = No. 221; energy relative to the lowest polymorph listed for this composition = 0 meV per atom; V = 22.52 Å³/atom; raw formation energy = 105 kJ per mole of atoms
1.0
4.829 0.000 0.000
0.000 4.829 0.000
0.000 0.000 4.829
Re Sb Pd
1 1 3
Direct
0.000 0.000 0.000 Re
0.500 0.500 0.500 Sb
0.000 0.000 0.500 Pd
0.000 0.500 0.000 Pd
0.500 0.000 0.000 Pd


No. 7
Nb3GeBi (PBE, relaxed); E_tot = -6.970 eV per atom; SG = No. 221; energy relative to the lowest polymorph listed for this composition = 0 meV per atom; V = 22.57 Å³/atom; ΔH_f (0 K) = 0.77 eV/atom
1.0
4.832 0.000 0.000
0.000 4.832 0.000
0.000 0.000 4.832
Nb Ge Bi
3 1 1
Direct
0.000 0.000 0.500 Nb
0.000 0.500 0.000 Nb
0.500 0.000 0.000 Nb
0.000 0.000 0.000 Ge
0.500 0.500 0.500 Bi


No. 8
ZrCd2Si (PBE, relaxed); E_tot = -3.859 eV per atom; SG = No. 47; V = 20.44 Å³/atom; raw formation energy = 9 kJ per mole of atoms
1.0
3.247 0.000 0.000
0.000 4.372 0.000
0.000 0.000 5.760
Zr Cd Si
1 2 1
Direct
0.000 0.000 0.000 Zr
0.500 0.500 0.253 Cd
0.500 0.500 0.747 Cd
0.000 0.000 0.500 Si


No. 9
Ti3VTe8 (PBE, relaxed); E_tot = -5.420 eV per atom; SG = No. 12; V = 29.01 Å³/atom; raw formation energy = -57 kJ per mole of atoms
1.0
6.432 -3.714 0.000
6.432 3.714 0.000
-4.354 0.000 7.286
Ti V Te
3 1 8
Direct
0.000 0.000 0.000 Ti
0.000 0.500 0.000 Ti
0.500 0.000 0.000 Ti
0.500 0.500 0.000 V
0.249 0.249 0.242 Te
0.251 0.746 0.239 Te
0.254 0.254 0.761 Te
0.254 0.749 0.761 Te
0.746 0.251 0.239 Te
0.746 0.746 0.239 Te
0.749 0.254 0.761 Te
0.751 0.751 0.758 Te


No. 10
DyHoZnPt (PBE, relaxed); E_tot = -4.940 eV per atom; SG = No. 99; energy relative to the lowest polymorph listed for this composition = 0 meV per atom; V = 21.78 Å³/atom; ΔH_f (0 K) = -0.82 eV/atom
1.0
3.544 0.000 0.000
0.000 3.544 0.000
0.000 0.000 6.937
Dy Ho Zn Pt
1 1 1 1
Direct
0.000 0.000 0.000 Dy
0.000 0.000 0.486 Ho
0.500 0.500 0.741 Zn
0.500 0.500 0.245 Pt


No. 11
TlIr2Cl (PBE, relaxed); E_tot = -5.178 eV per atom; SG = No. 6; energy relative to the lowest polymorph listed for this composition = 0 meV per atom; V = 21.32 Å³/atom; raw formation energy = 29 kJ per mole of atoms
1.0
2.890 0.000 0.000
0.000 3.543 0.000
-0.365 0.000 8.326
Tl Ir Cl
1 2 1
Direct
0.000 0.000 0.000 Tl
0.459 0.500 0.732 Ir
0.941 0.000 0.587 Ir
0.913 0.500 0.372 Cl


Q: The highest V belongs to which entry?
A: AcCeTeAu